[1]
Compound: Ac2MnGe6Os
Source: the Alexandria database
Functional: PBE
Structure: relaxed

Lattice parameters (Å, degrees): 7.3685 7.3685 29.6480 90.00 90.00 120.00
Space group R-3m (No. 166, hexagonal axes)
Inequivalent atoms, fractional coordinates:
Ac (0.0000, 0.0000, 0.1342) [6 per cell]
Ac (0.0000, 0.0000, 0.2855) [6 per cell]
Mn (0.0000, 0.0000, 0.0000) [3 per cell]
Mn (0.0000, 0.0000, 0.5000) [3 per cell]
Ge (0.0208, 0.5104, 0.1212) [18 per cell]
Ge (0.0269, 0.5135, 0.7104) [18 per cell]
Os (0.0000, 0.0000, 0.3944) [6 per cell]

Results
Final energy ... -5.828 eV/atom
Mass density ... 8.11 g/cm³
Total moment ... 1.8 μB/f.u.
DFT formation energy ... -196.3 meV per atom



[2]
Compound: Ac2MnGe4Pd3
Source: the Alexandria database
Functional: PBE
Structure: relaxed

Lattice parameters (Å, degrees): 4.418 4.418 10.593 90.00 90.00 90.00
Space group P-4m2 (No. 115)
Inequivalent atoms, fractional coordinates:
Ac (0.000, 0.500, 0.248) [2 per cell]
Mn (0.000, 0.000, 0.500) [1 per cell]
Ge (0.000, 0.000, 0.000) [1 per cell]
Ge (0.000, 0.500, 0.627) [2 per cell]
Ge (0.500, 0.500, 0.000) [1 per cell]
Pd (0.000, 0.500, 0.873) [2 per cell]
Pd (0.500, 0.500, 0.500) [1 per cell]

Results
Final energy ... -5.861 eV/atom
Mass density ... 8.98 g/cm³
Total moment ... 3.4 μB/f.u.
DFT formation energy ... -717.3 meV per atom



[3]
Compound: Ac2MnGe3Pd4
Source: the Alexandria database
Functional: PBE
Structure: relaxed

Lattice parameters (Å, degrees): 4.459 4.459 10.397 90.00 90.00 90.00
Space group P-4m2 (No. 115)
Inequivalent atoms, fractional coordinates:
Ac (0.000, 0.500, 0.250) [2 per cell]
Mn (0.000, 0.000, 0.500) [1 per cell]
Ge (0.000, 0.500, 0.876) [2 per cell]
Ge (0.500, 0.500, 0.500) [1 per cell]
Pd (0.000, 0.000, 0.000) [1 per cell]
Pd (0.000, 0.500, 0.632) [2 per cell]
Pd (0.500, 0.500, 0.000) [1 per cell]

Results
Final energy ... -5.914 eV/atom
Mass density ... 9.26 g/cm³
Total moment ... 4.2 μB/f.u.
DFT formation energy ... -713.2 meV per atom



[4]
Compound: Ac2MnGe3Pt12
Source: the Alexandria database
Functional: PBE
Structure: relaxed

Lattice parameters (Å, degrees): 8.3315 8.3315 19.0950 90.00 90.00 120.00
Space group R-3m (No. 166, hexagonal axes)
Inequivalent atoms, fractional coordinates:
Ac (0.0000, 0.0000, 0.1194) [6 per cell]
Mn (0.0000, 0.0000, 0.5000) [3 per cell]
Ge (0.0000, 0.5000, 0.0000) [9 per cell]
Pt (0.0058, 0.5029, 0.1264) [18 per cell]
Pt (0.0200, 0.5100, 0.3704) [18 per cell]

Results
Final energy ... -6.104 eV/atom
Mass density ... 13.31 g/cm³
Total moment ... 4.2 μB/f.u.
DFT formation energy ... -341.4 meV per atom



[5]
Compound: Ac2MnGe4Pt3
Source: the Alexandria database
Functional: PBE
Structure: relaxed

Lattice parameters (Å, degrees): 4.421 4.421 10.532 90.00 90.00 90.00
Space group P-4m2 (No. 115)
Inequivalent atoms, fractional coordinates:
Ac (0.000, 0.500, 0.248) [2 per cell]
Mn (0.000, 0.000, 0.500) [1 per cell]
Ge (0.000, 0.000, 0.000) [1 per cell]
Ge (0.000, 0.500, 0.629) [2 per cell]
Ge (0.500, 0.500, 0.000) [1 per cell]
Pt (0.000, 0.500, 0.875) [2 per cell]
Pt (0.500, 0.500, 0.500) [1 per cell]

Results
Final energy ... -6.227 eV/atom
Mass density ... 11.17 g/cm³
Total moment ... 3.4 μB/f.u.
DFT formation energy ... -829.4 meV per atom



[6]
Compound: Ac2MnGe4Rh3
Source: the Alexandria database
Functional: PBE
Structure: relaxed

Lattice parameters (Å, degrees): 4.380 4.380 10.376 90.00 90.00 90.00
Space group P-4m2 (No. 115)
Inequivalent atoms, fractional coordinates:
Ac (0.000, 0.500, 0.246) [2 per cell]
Mn (0.000, 0.000, 0.500) [1 per cell]
Ge (0.000, 0.000, 0.000) [1 per cell]
Ge (0.000, 0.500, 0.627) [2 per cell]
Ge (0.500, 0.500, 0.000) [1 per cell]
Rh (0.000, 0.500, 0.877) [2 per cell]
Rh (0.500, 0.500, 0.500) [1 per cell]

Results
Final energy ... -6.501 eV/atom
Mass density ... 9.24 g/cm³
Total moment ... 3.0 μB/f.u.
DFT formation energy ... -709.9 meV per atom



[7]
Compound: Ac2MnGeRh6
Source: the Alexandria database
Functional: PBE
Structure: relaxed

Lattice parameters (Å, degrees): 6.520 6.531 6.548 61.56 61.45 61.62
Space group P-1 (No. 2)
Inequivalent atoms, fractional coordinates:
Ac (0.215, 0.216, 0.215) [2 per cell]
Mn (0.500, 0.500, 0.500) [1 per cell]
Ge (0.000, 0.000, 0.000) [1 per cell]
Rh (0.247, 0.247, 0.654) [2 per cell]
Rh (0.248, 0.656, 0.246) [2 per cell]
Rh (0.343, 0.752, 0.753) [2 per cell]

Results
Final energy ... -6.952 eV/atom
Mass density ... 9.76 g/cm³
Total moment ... 3.1 μB/f.u.
DFT formation energy ... -341.0 meV per atom



[8]
Compound: Ac2MnGeS6
Source: the Alexandria database
Functional: PBE
Structure: relaxed

Lattice parameters (Å, degrees): 6.516 7.250 11.547 90.00 124.07 90.00
Space group P2_1/c (No. 14)
Inequivalent atoms, fractional coordinates:
Ac (0.217, 0.094, 0.250) [4 per cell]
Mn (0.500, 0.000, 0.000) [2 per cell]
Ge (0.000, 0.000, 0.500) [2 per cell]
S (0.158, 0.181, 0.959) [4 per cell]
S (0.273, 0.697, 0.960) [4 per cell]
S (0.343, 0.005, 0.759) [4 per cell]

Results
Final energy ... -5.964 eV/atom
Mass density ... 5.69 g/cm³
Total moment ... 3.3 μB/f.u.
ΔE_f (raw) ... -1.287 eV per atom



[9]
Compound: AcScMnGe2
Source: the Alexandria database
Functional: PBE
Structure: relaxed

Lattice parameters (Å, degrees): 4.389 4.389 11.678 90.00 90.00 90.00
Space group I-4m2 (No. 119)
Inequivalent atoms, fractional coordinates:
Ac (0.000, 0.000, 0.000) [2 per cell]
Sc (0.000, 0.500, 0.750) [2 per cell]
Mn (0.000, 0.500, 0.250) [2 per cell]
Ge (0.000, 0.000, 0.383) [4 per cell]

Results
Final energy ... -6.336 eV/atom
Mass density ... 6.97 g/cm³
Total moment ... 3.2 μB/f.u.
DFT formation energy ... -567.2 meV per atom



[10]
Compound: Ac2MnGeSe6
Source: the Alexandria database
Functional: PBE
Structure: relaxed

Lattice parameters (Å, degrees): 6.660 7.749 12.039 90.00 123.15 90.00
Space group P2_1/c (No. 14)
Inequivalent atoms, fractional coordinates:
Ac (0.203, 0.107, 0.251) [4 per cell]
Mn (0.500, 0.000, 0.000) [2 per cell]
Ge (0.000, 0.000, 0.500) [2 per cell]
Se (0.144, 0.174, 0.959) [4 per cell]
Se (0.286, 0.692, 0.958) [4 per cell]
Se (0.352, 0.007, 0.759) [4 per cell]

Results
Final energy ... -5.456 eV/atom
Mass density ... 6.74 g/cm³
Total moment ... 3.3 μB/f.u.
ΔE_f (raw) ... -1.165 eV per atom



[11]
Compound: AcMnTcGe3
Source: the Alexandria database
Functional: PBE
Structure: relaxed

Lattice parameters (Å, degrees): 6.214 11.534 7.005 90.00 90.00 90.00
Space group Cmcm (No. 63)
Inequivalent atoms, fractional coordinates:
Ac (0.000, 0.243, 0.250) [4 per cell]
Mn (0.000, 0.079, 0.750) [4 per cell]
Tc (0.000, 0.475, 0.750) [4 per cell]
Ge (0.000, 0.271, 0.750) [4 per cell]
Ge (0.214, 0.000, 0.000) [8 per cell]

Results
Final energy ... -6.445 eV/atom
Mass density ... 7.91 g/cm³
Total moment ... 0.4 μB/f.u.
DFT formation energy ... -195.4 meV per atom



[12]
Compound: AcMnZnGe2
Source: the Alexandria database
Functional: PBE
Structure: relaxed

Lattice parameters (Å, degrees): 4.319 4.319 11.115 90.00 90.00 90.00
Space group I-4m2 (No. 119)
Inequivalent atoms, fractional coordinates:
Ac (0.000, 0.000, 0.000) [2 per cell]
Mn (0.000, 0.500, 0.750) [2 per cell]
Zn (0.000, 0.500, 0.250) [2 per cell]
Ge (0.000, 0.000, 0.376) [4 per cell]

Results
Final energy ... -5.184 eV/atom
Mass density ... 7.89 g/cm³
Total moment ... 3.4 μB/f.u.
DFT formation energy ... -426.8 meV per atom



Q: final energy of number 11 (AcMnTcGe3)?
A: -6.445 eV/atom